Material: VHgSb3
Method: DFT, PBE
State: relaxed

The structure belongs to space group Pm-3m (No. 221); the cell edges are 5.4968, 5.4968 and 5.4968 Å and the angles 90.00°, 90.00° and 90.00°. Symmetry generates all atoms from V at (0.0000, 0.0000, 0.0000), Hg at (0.5000, 0.5000, 0.5000) and Sb at (0.0000, 0.5000, 0.5000).

For the electronic total energy, the calculation gives -3.151 eV/atom. For the uncorrected formation energy, the calculation gives 1206 meV per atom. The polymorph energy (0 for the lowest one) comes out at 4.871 eV/f.u.